DFT (GGA-PBE) results for Na4Ce3FeSe8 after structural relaxation.

Properties
Energy: -80.67 eV per cell
E_form (uncorrected): -21.26 eV/f.u.
Crystal system: trigonal
Space group: R-3m (166)

Unit cell a=8.345 b=8.461 c=8.345 alpha=119.55 beta=120.00 gamma=90.00
Element x y z (fractional)
Se (0.234, 0.725, 0.991)
Fe (0.000, 0.500, 0.000)
Na (0.000, 0.000, 0.500)
Se (0.243, 0.275, 0.009)
Se (0.234, 0.725, 0.468)
Se (0.766, 0.275, 0.009)
Na (0.000, 0.000, 0.000)
Na (0.500, 0.000, 0.500)
Se (0.746, 0.739, 0.493)
Ce (0.000, 0.500, 0.500)
Se (0.254, 0.261, 0.507)
Ce (0.500, 0.500, 0.500)
Se (0.766, 0.275, 0.532)
Se (0.757, 0.725, 0.991)
Na (0.500, 0.000, 0.000)
Ce (0.500, 0.500, 0.000)


DFT (GGA-PBE) results for Na3Ce2FeSe6 after structural relaxation.

Properties
Energy: -60.05 eV per cell
E_form (uncorrected): -14.86 eV/f.u.
Crystal system: monoclinic
Space group: C2/m (12)

Unit cell a=7.136 b=7.136 c=7.366 alpha=99.31 beta=99.31 gamma=120.08
Element x y z (fractional)
Na (0.500, 0.500, 0.500)
Se (0.925, 0.609, 0.774)
Se (0.239, 0.239, 0.776)
Fe (0.000, 0.000, 0.000)
Se (0.075, 0.391, 0.226)
Se (0.609, 0.925, 0.774)
Se (0.761, 0.761, 0.224)
Ce (0.666, 0.334, 0.000)
Ce (0.334, 0.666, 0.000)
Na (0.169, 0.831, 0.500)
Na (0.831, 0.169, 0.500)
Se (0.391, 0.075, 0.226)


DFT (GGA-PBE) results for Ce2NbFe after structural relaxation.

Properties
ΔE_f: 0.495 eV per atom
Energy: -28.42 eV per cell
Crystal system: trigonal
Space group: R-3m (166)

Unit cell a=2.999 b=2.999 c=10.417 alpha=81.72 beta=81.72 gamma=60.00
Element x y z (fractional)
Nb (0.000, 0.000, 0.000)
Ce (0.094, 0.094, 0.719)
Fe (0.500, 0.500, 0.500)
Ce (0.906, 0.906, 0.281)


DFT (GGA-PBE) results for CeNbFe4 after structural relaxation.

Properties
ΔE_f: 0.029 eV per atom
Energy: -49.68 eV per cell
Crystal system: cubic
Space group: F-43m (216)

Unit cell a=4.982 b=4.982 c=4.982 alpha=60.00 beta=60.00 gamma=60.00
Element x y z (fractional)
Fe (0.625, 0.625, 0.124)
Ce (0.250, 0.250, 0.250)
Nb (0.000, 0.000, 0.000)
Fe (0.625, 0.625, 0.625)
Fe (0.625, 0.124, 0.625)
Fe (0.124, 0.625, 0.625)


DFT (GGA-PBE) results for CeNbFe after structural relaxation.

Properties
ΔE_f: 0.118 eV per atom
Energy: -48.23 eV per cell
Crystal system: triclinic
Space group: P-1 (2)

Unit cell a=3.082 b=5.929 c=6.541 alpha=76.90 beta=76.84 gamma=90.50
Element x y z (fractional)
Fe (0.602, 0.000, 0.290)
Fe (0.398, 0.000, 0.710)
Ce (0.699, 0.729, 0.104)
Nb (0.038, 0.293, 0.430)
Ce (0.301, 0.271, 0.896)
Nb (0.962, 0.707, 0.570)


DFT (GGA-PBE) results for CeNbFe10 after structural relaxation.

Properties
ΔE_f: 0.049 eV per atom
Energy: -100.05 eV per cell
Crystal system: orthorhombic
Space group: Pmmm (47)

Unit cell a=4.018 b=4.836 c=8.348 alpha=90.00 beta=90.00 gamma=90.00
Element x y z (fractional)
Fe (0.000, 0.000, 0.656)
Fe (0.000, 0.500, 0.819)
Nb (0.000, 0.500, 0.500)
Fe (0.000, 0.500, 0.181)
Ce (0.000, 0.000, 0.000)
Fe (0.500, 0.500, 0.000)
Fe (0.500, 0.255, 0.261)
Fe (0.500, 0.745, 0.261)
Fe (0.500, 0.255, 0.739)
Fe (0.000, 0.000, 0.344)
Fe (0.500, 0.745, 0.739)
Fe (0.500, 0.000, 0.500)


- Which formula does entry 4 have?
  CeNbFe4